Here is an optimized crystal structure of Sc2ZnPd3 from Alexandria via LeMat-Bulk. Energies are from PBE-GGA.

Calculated values
The value obtained for the total DFT energy (no corrections) is -0.4033 Ry per atom. Its relative energy among the computed polymorphs is 23.6 kJ/mol of atoms. The value obtained for the total magnetic moment is 0.00 μB per formula unit. The value obtained for the calculated formation energy is -0.57 eV/atom. The calculation puts the density of states at the Fermi level at 0.444 states/eV/atom.

Geometry as CIF:
```
data_Sc2ZnPd3
_cell_length_a 5.6864
_cell_length_b 5.6864
_cell_length_c 5.6864
_cell_angle_alpha 132.20
_cell_angle_beta 125.31
_cell_angle_gamma 75.54
_symmetry_space_group_name_H-M 'P 1'
_symmetry_Int_Tables_number 1
loop_
_symmetry_equiv_pos_as_xyz
'x,y,z'
loop_
_atom_site_label
_atom_site_fract_x
_atom_site_fract_y
_atom_site_fract_z
_atom_site_occupancy
Sc1 0.1860 0.1860 0.0000 1
Sc2 0.8140 0.8140 0.0000 1
Zn1 0.5000 0.5000 0.0000 1
Pd1 0.0000 0.5000 0.5000 1
Pd2 0.3521 0.8521 0.5000 1
Pd3 0.6479 0.1479 0.5000 1
```